# 1
Below is SrLiTaAl2 after structural relaxation, with properties calculated at the GGA-PBE level.

SG: P4/mmm, No. 123
Electronic total energy (eV per cell): -19.19
Formation energy (eV/f.u.): 3.747

```
SrLiTaAl2
1.0
5.1862 0.0000 0.0000
0.0000 5.1862 0.0000
0.0000 0.0000 5.5787
Sr Li Ta Al
1 1 1 2
Cartesian
0.0000 0.0000 0.0000 Sr
2.5931 2.5931 0.0000 Li
0.0000 0.0000 2.7893 Ta
0.0000 2.5931 2.7893 Al
2.5931 0.0000 2.7893 Al
```

# 2
Below is SrLiTbAl after structural relaxation, with properties calculated at the GGA-PBE level.

SG: F-43m, No. 216
Electronic total energy (eV per cell): -12.20
Formation energy (eV/f.u.): -0.235

```
SrLiTbAl
1.0
0.0000 3.8331 3.8331
3.8331 0.0000 3.8331
3.8331 3.8331 0.0000
Sr Li Tb Al
1 1 1 1
Cartesian
0.0000 0.0000 0.0000 Sr
5.7496 5.7496 5.7496 Li
3.8331 3.8331 3.8331 Tb
1.9165 1.9165 1.9165 Al
```

# 3
Below is SrLiAlTl after structural relaxation, with properties calculated at the GGA-PBE level.

SG: F-43m, No. 216
Electronic total energy (eV per cell): -10.15
Formation energy (eV/f.u.): -0.445

```
SrLiAlTl
1.0
0.0000 3.7022 3.7022
3.7022 0.0000 3.7022
3.7022 3.7022 0.0000
Sr Li Al Tl
1 1 1 1
Cartesian
0.0000 0.0000 0.0000 Sr
1.8511 1.8511 1.8511 Li
3.7022 3.7022 3.7022 Al
5.5533 5.5533 5.5533 Tl
```

# 4
Below is SrLiTmAl after structural relaxation, with properties calculated at the GGA-PBE level.

SG: F-43m, No. 216
Electronic total energy (eV per cell): -11.98
Formation energy (eV/f.u.): -0.172

```
SrLiTmAl
1.0
0.0000 3.8012 3.8012
3.8012 0.0000 3.8012
3.8012 3.8012 0.0000
Sr Li Tm Al
1 1 1 1
Cartesian
0.0000 0.0000 0.0000 Sr
1.9006 1.9006 1.9006 Li
3.8012 3.8012 3.8012 Tm
5.7019 5.7019 5.7019 Al
```